Material: SrLiLa2Au4
Method: DFT, PBE
State: relaxed Values from VASP.

Summary:
* mass density: 9.5 Mg/m³
* uncorrected energy: -4.031 eV/atom
* total moment: 0.0 μB per formula unit

Quantum ESPRESSO input file:
```
&SYSTEM
  ibrav = 0, nat = 8, ntyp = 4
/
ATOMIC_SPECIES
Sr 87.62 Sr.upf
Li 6.94 Li.upf
La 138.91 La.upf
Au 196.97 Au.upf
CELL_PARAMETERS angstrom
2.612 1.508 8.571
-2.612 1.508 8.571
0.000 -3.017 8.571
ATOMIC_POSITIONS crystal
Sr 0.000 0.000 0.000
Li 0.500 0.500 0.500
La 0.243 0.243 0.243
La 0.757 0.757 0.757
Au 0.124 0.124 0.124
Au 0.383 0.383 0.383
Au 0.617 0.617 0.617
Au 0.876 0.876 0.876
```